Entry 1:
Below is crystalline Ba2SrNbN4 at its relaxed geometry, with properties calculated at the PBE level.

a = 8.1332 Å, b = 7.2807 Å, c = 6.1267 Å
α = 90.00°, β = 90.00°, γ = 90.00°
Space group Pmn2_1 (No. 31)
Symmetry-distinct sites (fractional):
Ba 0.2435 0.1749 0.0000 x4
Sr 0.0000 0.3606 0.5054 x2
Nb 0.0000 0.6718 0.0280 x2
N 0.0000 0.4134 0.9213 x2
N 0.0000 0.6673 0.3449 x2
N 0.2096 0.7990 0.9487 x4

## Properties
The crystal system is orthorhombic. The formation energy from raw total energies is -70 kJ/mol of atoms. The mass density comes out at 4.68 Mg/m³.



Entry 2:
Below is crystalline BaTbNbN3 at its relaxed geometry, with properties calculated at the PBE level.

a = 13.7417 Å, b = 4.0476 Å, c = 7.7536 Å
α = 90.00°, β = 105.04°, γ = 90.00°
Space group C2/m (No. 12)
Symmetry-distinct sites (fractional):
Ba 0.1491 0.0000 0.0790 x4
Tb 0.1575 0.0000 0.5748 x4
Nb 0.0020 0.5000 0.3035 x4
N 0.0063 0.0000 0.3267 x4
N 0.1491 0.5000 0.7919 x4
N 0.1627 0.5000 0.3532 x4

## Properties
The crystal system is monoclinic. The formation energy from raw total energies is -91 kJ/mol of atoms. The mass density comes out at 6.88 Mg/m³.



Entry 3:
Below is crystalline Ba2NbTc2N6 at its relaxed geometry, with properties calculated at the PBE level.

a = 6.0597 Å, b = 6.0597 Å, c = 17.4153 Å
α = 90.00°, β = 90.00°, γ = 120.00°
Space group R-3m (No. 166, hexagonal axes)
Symmetry-distinct sites (fractional):
Ba 0.0000 0.0000 0.2297 x6
Nb 0.0000 0.0000 0.0000 x3
Tc 0.0000 0.0000 0.4294 x6
N 0.0040 0.5020 0.7367 x18

## Properties
The crystal system is trigonal. The formation energy from raw total energies is -54 kJ/mol of atoms. The mass density comes out at 5.83 Mg/m³.



Entry 4:
Below is crystalline BaNbTe2N at its relaxed geometry, with properties calculated at the PBE level.

a = 6.3204 Å, b = 6.3204 Å, c = 4.3148 Å
α = 90.00°, β = 90.00°, γ = 90.00°
Space group P4/mmm (No. 123)
Symmetry-distinct sites (fractional):
Ba 0.0000 0.0000 0.0000 x1
Nb 0.5000 0.5000 0.5000 x1
Te 0.0000 0.5000 0.0000 x2
N 0.0000 0.0000 0.5000 x1

## Properties
The calculation puts the energy above the most stable polymorph in this dataset at 2103 meV per atom. The crystal system is tetragonal. The formation energy from raw total energies is 139 kJ/mol of atoms. The mass density comes out at 4.81 Mg/m³.